SrCaP2WO8 | PBE+U | optimized geometry

a = 6.2137 Å, b = 6.6187 Å, c = 9.5773 Å
α = 106.16°, β = 108.91°, γ = 93.78°
Closest atoms and distances in Å follow each position.
Positions (direct):
O (0.6144, 0.4152, 0.6289)  1 P 1.58
O (0.7358, 0.8713, 0.3342)  1 P 1.57
O (0.5947, 0.8084, 0.7268)  1 P 1.56
O (0.9597, 0.2551, 0.3977)  1 P 1.56
O (0.0910, 0.9111, 0.2848)  1 P 1.58
O (0.2642, 0.1287, 0.6658)  1 P 1.57
O (0.3856, 0.5848, 0.3711)  1 P 1.58
O (0.9090, 0.0889, 0.7152)  1 P 1.58
O (0.0403, 0.7449, 0.6023)  1 P 1.56
O (0.4587, 0.5544, 0.8489)  1 P 1.55
O (0.8924, 0.6225, 0.8837)  1 P 1.56
O (0.5413, 0.4456, 0.1511)  1 P 1.55
O (0.1076, 0.3775, 0.1163)  1 P 1.56
O (0.7298, 0.0123, 0.1159)  1 P 1.51
O (0.4053, 0.1916, 0.2732)  1 P 1.56
O (0.2702, 0.9877, 0.8841)  1 P 1.51
W (0.3811, 0.1281, 0.4786)  4 O 2.13-2.18, 1 W 2.36
W (0.6189, 0.8719, 0.5214)  4 O 2.13-2.18, 1 W 2.36
Sr (0.6736, 0.2011, 0.9209)  5 O 2.47-2.74
Sr (0.3264, 0.7989, 0.0791)  5 O 2.47-2.74
Ca (0.0258, 0.4180, 0.6749)  7 O 2.42-2.60
Ca (0.9742, 0.5820, 0.3251)  7 O 2.42-2.60
P (0.3623, 0.3936, 0.2222)  4 O 1.55-1.58
P (0.1274, 0.9764, 0.7196)  4 O 1.51-1.58
P (0.6377, 0.6064, 0.7778)  4 O 1.55-1.58
P (0.8726, 0.0236, 0.2804)  4 O 1.51-1.58

## Properties
DOS(E_F) = 0.00 states/eV per cell
space-group type = P-1 (2)
DFT total energy = -7.1166 eV per atom